Entry 1:
Below is an optimized crystal structure of BaLiW2, with properties calculated at the PBE level.

Cell: 6.121 6.121 6.121 Å, 142.69 142.69 53.78°
Atoms (fractional coordinates):
Ba1 0.000 0.000 0.000
Li1 0.500 0.500 0.000
W1 0.250 0.750 0.500
W2 0.750 0.250 0.500

## Properties
M_tot in μB/cell: 0.00
Energy above the lowest structure with this stoichiometry in meV/atom: 575
Crystal system: tetragonal

Entry 2:
Below is an optimized crystal structure of BaLi2W, with properties calculated at the PBE level.

Cell: 5.191 5.191 5.191 Å, 60.00 60.00 60.00°
Atoms (fractional coordinates):
Ba1 0.000 0.000 0.000
Li1 0.250 0.250 0.250
Li2 0.750 0.750 0.750
W1 0.500 0.500 0.500

## Properties
M_tot in μB/cell: 3.36
Energy above the lowest structure with this stoichiometry in meV/atom: 282
Crystal system: cubic

Entry 3:
Below is an optimized crystal structure of BaLiY2, with properties calculated at the PBE level.

Cell: 5.864 5.864 5.864 Å, 60.00 60.00 60.00°
Atoms (fractional coordinates):
Ba1 0.000 0.000 0.000
Li1 0.250 0.250 0.250
Y1 0.500 0.500 0.500
Y2 0.750 0.750 0.750

## Properties
M_tot in μB/cell: 0.00
Energy above the lowest structure with this stoichiometry in meV/atom: 187
Crystal system: cubic

Entry 4:
Below is an optimized crystal structure of BaLi2Y2, with properties calculated at the PBE level.

Cell: 11.717 11.717 11.717 Å, 161.60 161.60 26.14°
Atoms (fractional coordinates):
Ba1 0.000 0.000 0.000
Li1 0.250 0.750 0.500
Li2 0.750 0.250 0.500
Y1 0.370 0.370 0.000
Y2 0.630 0.630 0.000

## Properties
M_tot in μB/cell: 0.52
Energy above the lowest structure with this stoichiometry in meV/atom: 72
Crystal system: tetragonal

Entry 5:
Below is an optimized crystal structure of BaLi2Y2, with properties calculated at the PBE level.

Cell: 9.431 9.431 3.560 Å, 90.00 90.00 90.00°
Atoms (fractional coordinates):
Ba1 0.000 0.000 0.000
Ba2 0.500 0.500 0.000
Li1 0.165 0.335 0.500
Li2 0.335 0.835 0.500
Li3 0.665 0.165 0.500
Li4 0.835 0.665 0.500
Y1 0.125 0.625 0.000
Y2 0.375 0.125 0.000
Y3 0.625 0.875 0.000
Y4 0.875 0.375 0.000

## Properties
M_tot in μB/cell: 0.00
Energy above the lowest structure with this stoichiometry in meV/atom: 0
Crystal system: tetragonal

Entry 6:
Below is an optimized crystal structure of BaLiY2, with properties calculated at the PBE level.

Cell: 6.879 6.879 6.879 Å, 138.28 138.28 60.47°
Atoms (fractional coordinates):
Ba1 0.000 0.000 0.000
Li1 0.500 0.500 0.000
Y1 0.250 0.750 0.500
Y2 0.750 0.250 0.500

## Properties
M_tot in μB/cell: 0.68
Energy above the lowest structure with this stoichiometry in meV/atom: 193
Crystal system: tetragonal

Entry 7:
Below is an optimized crystal structure of BaLi2Y, with properties calculated at the PBE level.

Cell: 5.788 5.788 3.865 Å, 90.00 90.00 90.00°
Atoms (fractional coordinates):
Ba1 0.000 0.000 0.000
Li1 0.000 0.500 0.500
Li2 0.500 0.000 0.500
Y1 0.500 0.500 0.000

## Properties
M_tot in μB/cell: 0.00
Energy above the lowest structure with this stoichiometry in meV/atom: 34
Crystal system: tetragonal

Entry 8:
Below is an optimized crystal structure of Ba2LiY, with properties calculated at the PBE level.

Cell: 7.112 7.112 7.112 Å, 135.58 135.58 64.63°
Atoms (fractional coordinates):
Ba1 0.000 0.000 0.000
Ba2 0.750 0.250 0.500
Li1 0.250 0.750 0.500
Y1 0.500 0.500 0.000

## Properties
M_tot in μB/cell: 0.01
Energy above the lowest structure with this stoichiometry in meV/atom: 147
Crystal system: tetragonal

Entry 9:
Below is an optimized crystal structure of Ba2LiY2, with properties calculated at the PBE level.

Cell: 8.073 8.073 6.311 Å, 90.00 90.00 90.00°
Atoms (fractional coordinates):
Ba1 0.173 0.327 0.000
Ba2 0.327 0.827 0.000
Ba3 0.673 0.173 0.000
Ba4 0.827 0.673 0.000
Li1 0.000 0.000 0.500
Li2 0.500 0.500 0.500
Y1 0.146 0.646 0.500
Y2 0.354 0.146 0.500
Y3 0.646 0.854 0.500
Y4 0.854 0.354 0.500

## Properties
M_tot in μB/cell: 3.14
Energy above the lowest structure with this stoichiometry in meV/atom: 6
Crystal system: tetragonal

Entry 10:
Below is an optimized crystal structure of Ba2Li2Y, with properties calculated at the PBE level.

Cell: 9.141 9.141 4.732 Å, 90.00 90.00 90.00°
Atoms (fractional coordinates):
Ba1 0.187 0.313 0.000
Ba2 0.313 0.813 0.000
Ba3 0.687 0.187 0.000
Ba4 0.813 0.687 0.000
Li1 0.116 0.616 0.500
Li2 0.384 0.116 0.500
Li3 0.616 0.884 0.500
Li4 0.884 0.384 0.500
Y1 0.000 0.000 0.500
Y2 0.500 0.500 0.500

## Properties
M_tot in μB/cell: 0.00
Energy above the lowest structure with this stoichiometry in meV/atom: 0
Crystal system: tetragonal

Entry 11:
Below is an optimized crystal structure of Ba2LiY, with properties calculated at the PBE level.

Cell: 6.310 6.310 6.310 Å, 60.00 60.00 60.00°
Atoms (fractional coordinates):
Ba1 0.250 0.250 0.250
Ba2 0.750 0.750 0.750
Li1 0.000 0.000 0.000
Y1 0.500 0.500 0.500

## Properties
M_tot in μB/cell: 0.00
Energy above the lowest structure with this stoichiometry in meV/atom: 128
Crystal system: cubic

Entry 12:
Below is an optimized crystal structure of Ba2Li2Y, with properties calculated at the PBE level.

Cell: 12.396 12.396 12.396 Å, 161.36 161.36 26.48°
Atoms (fractional coordinates):
Ba1 0.119 0.119 0.000
Ba2 0.881 0.881 0.000
Li1 0.250 0.750 0.500
Li2 0.750 0.250 0.500
Y1 0.500 0.500 0.000

## Properties
M_tot in μB/cell: 1.30
Energy above the lowest structure with this stoichiometry in meV/atom: 8
Crystal system: tetragonal

Entry 13:
Below is an optimized crystal structure of BaLiY3, with properties calculated at the PBE level.

Cell: 5.634 5.634 5.634 Å, 90.00 90.00 90.00°
Atoms (fractional coordinates):
Ba1 0.000 0.000 0.000
Li1 0.500 0.500 0.500
Y1 0.000 0.500 0.500
Y2 0.500 0.000 0.500
Y3 0.500 0.500 0.000

## Properties
M_tot in μB/cell: 0.00
Energy above the lowest structure with this stoichiometry in meV/atom: 0
Crystal system: cubic

Entry 14:
Below is an optimized crystal structure of Ba2LiY, with properties calculated at the PBE level.

Cell: 4.376 4.376 9.022 Å, 90.00 90.00 90.00°
Atoms (fractional coordinates):
Ba1 0.000 0.000 0.237
Ba2 0.000 0.000 0.763
Li1 0.500 0.500 0.000
Y1 0.500 0.500 0.500

## Properties
M_tot in μB/cell: 0.00
Energy above the lowest structure with this stoichiometry in meV/atom: 32
Crystal system: tetragonal

Entry 15:
Below is an optimized crystal structure of BaLiY2, with properties calculated at the PBE level.

Cell: 6.557 6.557 6.254 Å, 108.54 108.54 33.27°
Atoms (fractional coordinates):
Ba1 0.000 0.000 0.000
Li1 0.743 0.743 0.146
Y1 0.205 0.205 0.625
Y2 0.454 0.454 0.474

## Properties
M_tot in μB/cell: 0.00
Energy above the lowest structure with this stoichiometry in meV/atom: 109
Crystal system: monoclinic

Entry 16:
Below is an optimized crystal structure of Ba2LiY2, with properties calculated at the PBE level.

Cell: 10.823 10.823 3.844 Å, 90.00 90.00 90.00°
Atoms (fractional coordinates):
Ba1 0.185 0.315 0.000
Ba2 0.315 0.815 0.000
Ba3 0.685 0.185 0.000
Ba4 0.815 0.685 0.000
Li1 0.000 0.000 0.000
Li2 0.500 0.500 0.000
Y1 0.107 0.607 0.500
Y2 0.393 0.107 0.500
Y3 0.607 0.893 0.500
Y4 0.893 0.393 0.500

## Properties
M_tot in μB/cell: 4.02
Energy above the lowest structure with this stoichiometry in meV/atom: 144
Crystal system: tetragonal

Entry 17:
Below is an optimized crystal structure of BaLi2Y, with properties calculated at the PBE level.

Cell: 7.132 7.132 7.132 Å, 104.40 104.40 120.18°
Atoms (fractional coordinates):
Ba1 0.000 0.000 0.000
Ba2 0.750 0.250 0.500
Li1 0.142 0.625 0.018
Li2 0.375 0.392 0.518
Li3 0.608 0.125 0.982
Li4 0.875 0.858 0.482
Y1 0.250 0.750 0.500
Y2 0.500 0.500 0.000

## Properties
M_tot in μB/cell: 0.00
Energy above the lowest structure with this stoichiometry in meV/atom: 254
Crystal system: tetragonal

Entry 18:
Below is an optimized crystal structure of Ba2LiY, with properties calculated at the PBE level.

Cell: 4.465 6.021 6.275 Å, 90.00 90.00 90.00°
Atoms (fractional coordinates):
Ba1 0.000 0.000 0.000
Ba2 0.500 0.000 0.500
Li1 0.000 0.500 0.500
Y1 0.500 0.500 0.000

## Properties
M_tot in μB/cell: 0.00
Energy above the lowest structure with this stoichiometry in meV/atom: 130
Crystal system: orthorhombic

Entry 19:
Below is an optimized crystal structure of BaLi2Y, with properties calculated at the PBE level.

Cell: 6.856 6.856 6.856 Å, 148.69 129.83 60.34°
Atoms (fractional coordinates):
Ba1 0.000 0.000 0.000
Li1 0.263 0.763 0.500
Li2 0.448 0.448 0.000
Y1 0.701 0.201 0.500

## Properties
M_tot in μB/cell: 0.01
Energy above the lowest structure with this stoichiometry in meV/atom: 53
Crystal system: orthorhombic

Entry 20:
Below is an optimized crystal structure of BaLi2Y, with properties calculated at the PBE level.

Cell: 6.689 6.689 6.689 Å, 137.91 137.91 61.04°
Atoms (fractional coordinates):
Ba1 0.000 0.000 0.000
Li1 0.250 0.750 0.500
Li2 0.500 0.500 0.000
Y1 0.750 0.250 0.500

## Properties
M_tot in μB/cell: 0.97
Energy above the lowest structure with this stoichiometry in meV/atom: 143
Crystal system: tetragonal

Entry 21:
Below is an optimized crystal structure of Ba2LiY2, with properties calculated at the PBE level.

Cell: 11.502 11.502 11.502 Å, 157.26 157.26 32.37°
Atoms (fractional coordinates):
Ba1 0.097 0.097 0.000
Ba2 0.903 0.903 0.000
Li1 0.500 0.500 0.000
Y1 0.250 0.750 0.500
Y2 0.750 0.250 0.500

## Properties
M_tot in μB/cell: 0.00
Energy above the lowest structure with this stoichiometry in meV/atom: 0
Crystal system: tetragonal

Entry 22:
Below is an optimized crystal structure of BaLiY2, with properties calculated at the PBE level.

Cell: 4.929 4.929 5.897 Å, 90.00 90.00 90.00°
Atoms (fractional coordinates):
Ba1 0.000 0.000 0.000
Li1 0.500 0.500 0.000
Y1 0.000 0.500 0.500
Y2 0.500 0.000 0.500

## Properties
M_tot in μB/cell: 0.60
Energy above the lowest structure with this stoichiometry in meV/atom: 165
Crystal system: tetragonal

Entry 23:
Below is an optimized crystal structure of Ba2LiY, with properties calculated at the PBE level.

Cell: 4.132 6.413 6.534 Å, 90.00 90.00 90.00°
Atoms (fractional coordinates):
Ba1 0.000 0.000 0.000
Ba2 0.000 0.500 0.427
Li1 0.500 0.500 0.902
Y1 0.500 0.000 0.507

## Properties
M_tot in μB/cell: 0.00
Energy above the lowest structure with this stoichiometry in meV/atom: 54
Crystal system: orthorhombic

Entry 24:
Below is an optimized crystal structure of BaLiY2, with properties calculated at the PBE level.

Cell: 3.663 5.958 6.578 Å, 90.00 102.01 90.00°
Atoms (fractional coordinates):
Ba1 0.000 0.000 0.000
Li1 0.500 0.000 0.500
Y1 0.322 0.500 0.727
Y2 0.678 0.500 0.273

## Properties
M_tot in μB/cell: 0.00
Energy above the lowest structure with this stoichiometry in meV/atom: 133
Crystal system: monoclinic

Entry 25:
Below is an optimized crystal structure of Ba2LiY, with properties calculated at the PBE level.

Cell: 12.693 12.693 12.693 Å, 18.14 18.14 18.14°
Atoms (fractional coordinates):
Ba1 0.248 0.248 0.248
Ba2 0.752 0.752 0.752
Li1 0.500 0.500 0.500
Y1 0.000 0.000 0.000

## Properties
M_tot in μB/cell: 1.03
Energy above the lowest structure with this stoichiometry in meV/atom: 70
Crystal system: trigonal

Entry 26:
Below is an optimized crystal structure of Ba3LiY, with properties calculated at the PBE level.

Cell: 6.819 6.819 6.819 Å, 90.00 90.00 90.00°
Atoms (fractional coordinates):
Ba1 0.000 0.000 0.500
Ba2 0.000 0.500 0.000
Ba3 0.500 0.000 0.000
Li1 0.500 0.500 0.500
Y1 0.000 0.000 0.000

## Properties
M_tot in μB/cell: 3.10
Energy above the lowest structure with this stoichiometry in meV/atom: 165
Crystal system: cubic

Entry 27:
Below is an optimized crystal structure of BaLiY2, with properties calculated at the PBE level.

Cell: 3.918 5.849 6.138 Å, 90.00 90.00 90.00°
Atoms (fractional coordinates):
Ba1 0.000 0.000 0.000
Li1 0.500 0.500 0.000
Y1 0.000 0.500 0.500
Y2 0.500 0.000 0.500

## Properties
M_tot in μB/cell: 0.00
Energy above the lowest structure with this stoichiometry in meV/atom: 106
Crystal system: orthorhombic

Entry 28:
Below is an optimized crystal structure of Ba2LiY, with properties calculated at the PBE level.

Cell: 7.513 7.513 7.513 Å, 148.45 129.63 60.66°
Atoms (fractional coordinates):
Ba1 0.000 0.000 0.000
Ba2 0.713 0.213 0.500
Li1 0.238 0.738 0.500
Y1 0.438 0.438 0.000

## Properties
M_tot in μB/cell: 0.27
Energy above the lowest structure with this stoichiometry in meV/atom: 47
Crystal system: orthorhombic

Entry 29:
Below is an optimized crystal structure of BaLi2Y, with properties calculated at the PBE level.

Cell: 3.976 4.035 8.175 Å, 90.00 90.00 90.00°
Atoms (fractional coordinates):
Ba1 0.000 0.000 0.000
Li1 0.500 0.500 0.294
Li2 0.500 0.500 0.706
Y1 0.000 0.000 0.500

## Properties
M_tot in μB/cell: 0.00
Energy above the lowest structure with this stoichiometry in meV/atom: 1
Crystal system: orthorhombic